# KGaCl4 PBE relaxed
data_KGaCl4
_chemical_formula_sum 'K2 Ga2 Cl8'
_symmetry_space_group_name_H-M 'P 1'
_symmetry_Int_Tables_number 1
_symmetry_space_group_name_Hall 'P 1'
_cell_length_a 8.2370
_cell_length_b 8.2370
_cell_length_c 8.2370
_cell_angle_alpha 104.18
_cell_angle_beta 104.18
_cell_angle_gamma 120.66
loop_
_atom_site_label
_atom_site_type_symbol
_atom_site_fract_x
_atom_site_fract_y
_atom_site_fract_z
K1 K 0.0000 0.0000 0.0000
K2 K 0.7500 0.2500 0.5000
Ga1 Ga 0.2500 0.7500 0.5000
Ga2 Ga 0.5000 0.5000 0.0000
Cl1 Cl 0.2389 0.9129 0.3260
Cl2 Cl 0.5869 0.9129 0.6740
Cl3 Cl 0.6629 0.8369 0.1740
Cl4 Cl 0.5111 0.3371 0.1740
Cl5 Cl 0.6629 0.4889 0.8260
Cl6 Cl 0.0871 0.4131 0.3260
Cl7 Cl 0.1631 0.3371 0.8260
Cl8 Cl 0.0871 0.7611 0.6740
# DOS at the Fermi energy: 0.00 states/eV/cell
# final energy: -3.40 eV/atom
# energy relative to the elements, uncorrected: -1478 meV per atom



# K4GaCl2 PBE relaxed
data_K4GaCl2
_chemical_formula_sum 'K4 Ga1 Cl2'
_symmetry_space_group_name_H-M 'P 1'
_symmetry_Int_Tables_number 1
_symmetry_space_group_name_Hall 'P 1'
_cell_length_a 6.4451
_cell_length_b 6.4451
_cell_length_c 9.4945
_cell_angle_alpha 70.16
_cell_angle_beta 70.16
_cell_angle_gamma 90.00
loop_
_atom_site_label
_atom_site_type_symbol
_atom_site_fract_x
_atom_site_fract_y
_atom_site_fract_z
K1 K 0.7987 0.7987 0.4025
K2 K 0.2013 0.2013 0.5975
K3 K 0.0000 0.5000 0.0000
K4 K 0.5000 0.0000 0.0000
Ga1 Ga 0.0000 0.0000 0.0000
Cl1 Cl 0.6235 0.6235 0.7531
Cl2 Cl 0.3765 0.3765 0.2469
# DOS at the Fermi energy: 2.76 states/eV/cell
# final energy: -2.31 eV/atom
# energy relative to the elements, uncorrected: -725 meV per atom



# KGaCl3 PBE relaxed
data_KGaCl3
_chemical_formula_sum 'K1 Ga1 Cl3'
_symmetry_space_group_name_H-M 'P 1'
_symmetry_Int_Tables_number 1
_symmetry_space_group_name_Hall 'P 1'
_cell_length_a 5.1291
_cell_length_b 5.1291
_cell_length_c 5.1291
_cell_angle_alpha 90.00
_cell_angle_beta 90.00
_cell_angle_gamma 90.00
loop_
_atom_site_label
_atom_site_type_symbol
_atom_site_fract_x
_atom_site_fract_y
_atom_site_fract_z
K1 K 0.5000 0.5000 0.5000
Ga1 Ga 0.0000 0.0000 0.0000
Cl1 Cl 0.0000 0.5000 0.0000
Cl2 Cl 0.0000 0.0000 0.5000
Cl3 Cl 0.5000 0.0000 0.0000
# DOS at the Fermi energy: 1.44 states/eV/cell
# final energy: -3.24 eV/atom
# offset from the most stable computed form: 164 meV per atom
# energy relative to the elements, uncorrected: -1306 meV per atom



# KGaCl2 PBE relaxed
data_KGaCl2
_chemical_formula_sum 'K1 Ga1 Cl2'
_symmetry_space_group_name_H-M 'P 1'
_symmetry_Int_Tables_number 1
_symmetry_space_group_name_Hall 'P 1'
_cell_length_a 4.3282
_cell_length_b 4.3282
_cell_length_c 7.9314
_cell_angle_alpha 74.17
_cell_angle_beta 74.17
_cell_angle_gamma 60.00
loop_
_atom_site_label
_atom_site_type_symbol
_atom_site_fract_x
_atom_site_fract_y
_atom_site_fract_z
K1 K 0.4992 0.4992 0.5025
Ga1 Ga 0.6675 0.6675 0.9975
Cl1 Cl 0.0799 0.0799 0.7603
Cl2 Cl 0.2534 0.2534 0.2397
# DOS at the Fermi energy: 0.00 states/eV/cell
# final energy: -3.24 eV/atom
# offset from the most stable computed form: 1 meV per atom
# energy relative to the elements, uncorrected: -1286 meV per atom



# K4GaCl5 PBE relaxed
data_K4GaCl5
_chemical_formula_sum 'K4 Ga1 Cl5'
_symmetry_space_group_name_H-M 'P 1'
_symmetry_Int_Tables_number 1
_symmetry_space_group_name_Hall 'P 1'
_cell_length_a 4.4793
_cell_length_b 7.7349
_cell_length_c 9.9999
_cell_angle_alpha 74.96
_cell_angle_beta 77.06
_cell_angle_gamma 73.17
loop_
_atom_site_label
_atom_site_type_symbol
_atom_site_fract_x
_atom_site_fract_y
_atom_site_fract_z
K1 K 0.6000 0.1975 0.6025
K2 K 0.2002 0.4018 0.1978
K3 K 0.7998 0.5982 0.8022
K4 K 0.4000 0.8025 0.3975
Ga1 Ga 0.0000 0.0000 0.0000
Cl1 Cl 0.1981 0.8991 0.7046
Cl2 Cl 0.8019 0.1009 0.2954
Cl3 Cl 0.4034 0.2894 0.9038
Cl4 Cl 0.0000 0.5000 0.5000
Cl5 Cl 0.5966 0.7106 0.0962
# DOS at the Fermi energy: 0.00 states/eV/cell
# final energy: -3.37 eV/atom
# energy relative to the elements, uncorrected: -1700 meV per atom



# KGaCl3 PBE relaxed
data_KGaCl3
_chemical_formula_sum 'K1 Ga1 Cl3'
_symmetry_space_group_name_H-M 'P 1'
_symmetry_Int_Tables_number 1
_symmetry_space_group_name_Hall 'P 1'
_cell_length_a 5.8439
_cell_length_b 5.8439
_cell_length_c 5.8439
_cell_angle_alpha 90.00
_cell_angle_beta 90.00
_cell_angle_gamma 90.00
loop_
_atom_site_label
_atom_site_type_symbol
_atom_site_fract_x
_atom_site_fract_y
_atom_site_fract_z
K1 K 0.0000 0.0000 0.0000
Ga1 Ga 0.5000 0.5000 0.5000
Cl1 Cl 0.0000 0.5000 0.0000
Cl2 Cl 0.0000 0.0000 0.5000
Cl3 Cl 0.5000 0.0000 0.0000
# DOS at the Fermi energy: 18.32 states/eV/cell
# final energy: -2.51 eV/atom
# offset from the most stable computed form: 889 meV per atom
# energy relative to the elements, uncorrected: -582 meV per atom



# KGa3Cl8 PBE relaxed
data_KGa3Cl8
_chemical_formula_sum 'K1 Ga3 Cl8'
_symmetry_space_group_name_H-M 'P 1'
_symmetry_Int_Tables_number 1
_symmetry_space_group_name_Hall 'P 1'
_cell_length_a 6.6585
_cell_length_b 6.6585
_cell_length_c 10.0234
_cell_angle_alpha 91.37
_cell_angle_beta 91.37
_cell_angle_gamma 68.42
loop_
_atom_site_label
_atom_site_type_symbol
_atom_site_fract_x
_atom_site_fract_y
_atom_site_fract_z
K1 K 0.0000 0.0000 0.0000
Ga1 Ga 0.6142 0.6142 0.2570
Ga2 Ga 0.3858 0.3858 0.7430
Ga3 Ga 0.0000 0.0000 0.5000
Cl1 Cl 0.2644 0.7451 0.7408
Cl2 Cl 0.7104 0.7104 0.0687
Cl3 Cl 0.7451 0.2644 0.7408
Cl4 Cl 0.2719 0.2719 0.5602
Cl5 Cl 0.2549 0.7356 0.2592
Cl6 Cl 0.7281 0.7281 0.4398
Cl7 Cl 0.7356 0.2549 0.2592
Cl8 Cl 0.2896 0.2896 0.9313
# DOS at the Fermi energy: 0.00 states/eV/cell
# final energy: -3.33 eV/atom
# energy relative to the elements, uncorrected: -1248 meV per atom



# K4GaCl7 PBE relaxed
data_K4GaCl7
_chemical_formula_sum 'K4 Ga1 Cl7'
_symmetry_space_group_name_H-M 'P 1'
_symmetry_Int_Tables_number 1
_symmetry_space_group_name_Hall 'P 1'
_cell_length_a 5.1048
_cell_length_b 9.8774
_cell_length_c 8.5619
_cell_angle_alpha 68.57
_cell_angle_beta 72.66
_cell_angle_gamma 75.02
loop_
_atom_site_label
_atom_site_type_symbol
_atom_site_fract_x
_atom_site_fract_y
_atom_site_fract_z
K1 K 0.5527 0.2571 0.6374
K2 K 0.4473 0.7429 0.3626
K3 K 0.7215 0.6834 0.8736
K4 K 0.2785 0.3166 0.1264
Ga1 Ga 0.0000 0.0000 0.0000
Cl1 Cl 0.8535 0.0072 0.2858
Cl2 Cl 0.1465 0.9928 0.7142
Cl3 Cl 0.0750 0.7429 0.1071
Cl4 Cl 0.9250 0.2571 0.8929
Cl5 Cl 0.3514 0.5578 0.7394
Cl6 Cl 0.5000 0.0000 0.0000
Cl7 Cl 0.6486 0.4422 0.2606
# DOS at the Fermi energy: 0.00 states/eV/cell
# final energy: -3.33 eV/atom
# energy relative to the elements, uncorrected: -1639 meV per atom